Computed, not measured: a relaxed Li2Cd2Ag5 crystal at the GGA-PBE level of DFT.

abc: 12.337 7.642 7.338
angles: 90.00 90.00 90.00
Space group Ima2 (No. 46)
Inequivalent atoms, fractional coordinates:
Li 0.000 0.000 0.000 (multiplicity 4)
Li 0.250 0.128 0.931 (multiplicity 4)
Cd 0.120 0.033 0.624 (multiplicity 8)
Ag 0.074 0.722 0.828 (multiplicity 8)
Ag 0.139 0.120 0.247 (multiplicity 8)
Ag 0.250 0.696 0.577 (multiplicity 4)

ΔH_f (0 K) = -13 meV per atom
E above lowest polymorph = 0.123 eV per atom
crystal system = orthorhombic
VASP energy = -2.226 eV/atom